# Tl4CdPb12, optimized geometry, DFT GGA-PBE
data_Tl4CdPb12
_symmetry_space_group_name_H-M 'P 1'
_symmetry_Int_Tables_number 1
_cell_length_a 10.5687
_cell_length_b 10.5687
_cell_length_c 10.5687
_cell_angle_alpha 109.47
_cell_angle_beta 109.47
_cell_angle_gamma 109.47
loop_
_symmetry_equiv_pos_as_xyz
'x,y,z'
loop_
_atom_site_label
_atom_site_type_symbol
_atom_site_fract_x
_atom_site_fract_y
_atom_site_fract_z
Tl1 Tl 0.5000 0.0000 0.0000
Tl2 Tl 0.0000 0.5000 0.0000
Tl3 Tl 0.0000 0.0000 0.5000
Tl4 Tl 0.5000 0.5000 0.5000
Cd1 Cd 0.0000 0.0000 0.0000
Pb1 Pb 0.1410 0.7749 0.9159
Pb2 Pb 0.2251 0.0841 0.8590
Pb3 Pb 0.3661 0.1410 0.2251
Pb4 Pb 0.2251 0.3661 0.1410
Pb5 Pb 0.6339 0.8590 0.7749
Pb6 Pb 0.7749 0.9159 0.1410
Pb7 Pb 0.9159 0.1410 0.7749
Pb8 Pb 0.0841 0.8590 0.2251
Pb9 Pb 0.7749 0.6339 0.8590
Pb10 Pb 0.1410 0.2251 0.3661
Pb11 Pb 0.8590 0.7749 0.6339
Pb12 Pb 0.8590 0.2251 0.0841
# Energy: -3.0181 eV per atom
# DOS(E_F): 9.77 states/eV per cell
# Total moment: 0.00 μB per atom
# Energy of formation from the pure elements: 3.57 eV/f.u.
# Crystal system: cubic

---

# TmTlCdPb, optimized geometry, DFT GGA-PBE
data_TmTlCdPb
_symmetry_space_group_name_H-M 'P 1'
_symmetry_Int_Tables_number 1
_cell_length_a 4.6569
_cell_length_b 4.5283
_cell_length_c 4.9477
_cell_angle_alpha 90.00
_cell_angle_beta 90.00
_cell_angle_gamma 90.00
loop_
_symmetry_equiv_pos_as_xyz
'x,y,z'
loop_
_atom_site_label
_atom_site_type_symbol
_atom_site_fract_x
_atom_site_fract_y
_atom_site_fract_z
Tm1 Tm 0.5000 0.0000 0.5000
Tl1 Tl 0.5000 0.5000 0.0000
Cd1 Cd 0.0000 0.0000 0.0000
Pb1 Pb 0.0000 0.5000 0.5000
# Energy: -3.1011 eV per atom
# Excess energy over the best structure of this formula in the dataset: 0 meV per atom
# DOS(E_F): 1.58 states/eV per cell
# Total moment: 0.00 μB per atom
# Energy of formation from the pure elements: -0.94 eV/f.u.
# Crystal system: orthorhombic

---

# TmTlCdPb, optimized geometry, DFT GGA-PBE
data_TmTlCdPb
_symmetry_space_group_name_H-M 'P 1'
_symmetry_Int_Tables_number 1
_cell_length_a 5.3567
_cell_length_b 5.3567
_cell_length_c 5.3567
_cell_angle_alpha 60.00
_cell_angle_beta 60.00
_cell_angle_gamma 60.00
loop_
_symmetry_equiv_pos_as_xyz
'x,y,z'
loop_
_atom_site_label
_atom_site_type_symbol
_atom_site_fract_x
_atom_site_fract_y
_atom_site_fract_z
Pb1 Pb 0.5000 0.5000 0.5000
Tl1 Tl 0.0000 0.0000 0.0000
Tm1 Tm 0.2500 0.2500 0.2500
Cd1 Cd 0.7500 0.7500 0.7500
# Energy: -2.9449 eV per atom
# Excess energy over the best structure of this formula in the dataset: 156 meV per atom
# DOS(E_F): 1.85 states/eV per cell
# Total moment: 0.00 μB per atom
# Energy of formation from the pure elements: -0.32 eV/f.u.
# Crystal system: cubic

---

# TmCdPb2, optimized geometry, DFT GGA-PBE
data_TmCdPb2
_symmetry_space_group_name_H-M 'P 1'
_symmetry_Int_Tables_number 1
_cell_length_a 5.3923
_cell_length_b 5.3923
_cell_length_c 5.3923
_cell_angle_alpha 60.00
_cell_angle_beta 60.00
_cell_angle_gamma 60.00
loop_
_symmetry_equiv_pos_as_xyz
'x,y,z'
loop_
_atom_site_label
_atom_site_type_symbol
_atom_site_fract_x
_atom_site_fract_y
_atom_site_fract_z
Pb1 Pb 0.2500 0.2500 0.2500
Pb2 Pb 0.7500 0.7500 0.7500
Tm1 Tm 0.0000 0.0000 0.0000
Cd1 Cd 0.5000 0.5000 0.5000
# Energy: -3.2661 eV per atom
# Excess energy over the best structure of this formula in the dataset: 185 meV per atom
# DOS(E_F): 3.15 states/eV per cell
# Total moment: 0.00 μB per atom
# Energy of formation from the pure elements: -0.26 eV/f.u.
# Crystal system: cubic

---

# TmCd2Pb, optimized geometry, DFT GGA-PBE
data_TmCd2Pb
_symmetry_space_group_name_H-M 'P 1'
_symmetry_Int_Tables_number 1
_cell_length_a 5.2904
_cell_length_b 5.2904
_cell_length_c 5.2904
_cell_angle_alpha 60.00
_cell_angle_beta 60.00
_cell_angle_gamma 60.00
loop_
_symmetry_equiv_pos_as_xyz
'x,y,z'
loop_
_atom_site_label
_atom_site_type_symbol
_atom_site_fract_x
_atom_site_fract_y
_atom_site_fract_z
Pb1 Pb 0.5000 0.5000 0.5000
Tm1 Tm 0.0000 0.0000 0.0000
Cd1 Cd 0.2500 0.2500 0.2500
Cd2 Cd 0.7500 0.7500 0.7500
# Energy: -2.5756 eV per atom
# Excess energy over the best structure of this formula in the dataset: 203 meV per atom
# DOS(E_F): 3.32 states/eV per cell
# Total moment: 0.00 μB per atom
# Energy of formation from the pure elements: -0.29 eV/f.u.
# Crystal system: cubic

---

# Tm4CdPb, optimized geometry, DFT GGA-PBE
data_Tm4CdPb
_symmetry_space_group_name_H-M 'P 1'
_symmetry_Int_Tables_number 1
_cell_length_a 5.1204
_cell_length_b 5.1208
_cell_length_c 7.1833
_cell_angle_alpha 89.98
_cell_angle_beta 89.99
_cell_angle_gamma 90.00
loop_
_symmetry_equiv_pos_as_xyz
'x,y,z'
loop_
_atom_site_label
_atom_site_type_symbol
_atom_site_fract_x
_atom_site_fract_y
_atom_site_fract_z
Tm1 Tm 0.5012 0.9970 0.2607
Tm2 Tm 0.5013 0.9975 0.7355
Tm3 Tm 0.0014 0.4974 0.7355
Tm4 Tm 0.0012 0.4972 0.2608
Cd1 Cd 0.0013 0.9973 0.4981
Pb1 Pb 0.5013 0.4973 0.9981
# Energy: -3.7837 eV per atom
# DOS(E_F): 6.06 states/eV per cell
# Total moment: 0.00 μB per atom
# Energy of formation from the pure elements: -0.19 eV/f.u.
# Crystal system: tetragonal